A geometry-optimized SrGe2TeMo structure, computed with PBE.

Cell and atoms, written as POSCAR:
```
SrGe2TeMo
1.0
5.540 0.000 0.000
0.000 5.540 0.000
0.000 0.000 5.910
Sr Ge Te Mo
1 2 1 1
direct
0.000 0.000 0.000
0.000 0.500 0.500
0.500 0.000 0.500
0.000 0.000 0.500
0.500 0.500 0.000
```

Values from the calculation:
Fermi-level density of states (states/eV per cell): 3.13
Total DFT energy (no corrections) (eV/atom): -3.803